Material: CdNi2Pt8
Method: DFT, GGA-PBE
State: optimized geometry

abc: 14.192 3.932 6.270
angles: 90.00 106.12 90.00
Space group C2/m (No. 12)
Symmetry-distinct sites (fractional):
Cd (0.000, 0.000, 0.000) (multiplicity 2)
Ni (0.226, 0.500, 0.639) (multiplicity 4)
Pt (0.049, 0.500, 0.721) (multiplicity 4)
Pt (0.100, 0.000, 0.462) (multiplicity 4)
Pt (0.145, 0.500, 0.203) (multiplicity 4)
Pt (0.184, 0.000, 0.918) (multiplicity 4)

DFT formation energy, meV per atom: -89
VASP energy, eV/atom: -5.617
Total magnetic moment, μB/cell: 6.12